Computed, not measured: a relaxed structure of CsTlI2O at the PBE level of DFT.

```
CsTlI2O
1.0
6.554 0.000 0.000
0.000 6.554 0.000
0.000 0.000 4.193
Cs Tl I O
1 1 2 1
direct
0.000 0.000 0.000
0.500 0.500 0.500
0.000 0.500 0.500
0.500 0.000 0.500
0.500 0.500 0.000
```

Results
The formation energy from raw total energies is -339 kJ/mol of formula units. The value obtained for the calculated density is 5597 kg/m3. The density of states at the Fermi level comes out at 1.140 states/eV per atom. As for the space-group type: P4/mmm (123).

***

Computed, not measured: a relaxed structure of CsTmI2O8 at the PBE level of DFT.

```
CsTmI2O8
1.0
2.960 1.709 8.340
-2.960 1.709 8.340
0.000 -3.417 8.340
Cs Tm I O
1 1 2 8
direct
0.000 0.000 0.000
0.500 0.500 0.500
0.229 0.229 0.229
0.771 0.771 0.771
0.123 0.736 0.488
0.264 0.512 0.877
0.300 0.300 0.300
0.488 0.123 0.736
0.512 0.877 0.264
0.700 0.700 0.700
0.736 0.488 0.123
0.877 0.264 0.512
```

Results
The formation energy from raw total energies is -1263 kJ/mol of formula units. The value obtained for the calculated density is 4486 kg/m3. The density of states at the Fermi level comes out at 0.234 states/eV per atom. As for the space-group type: R-3 (148).

***

Computed, not measured: a relaxed structure of CsUIO6 at the PBE level of DFT.

```
CsUIO6
1.0
5.744 0.000 0.000
-2.872 4.974 0.000
0.000 0.000 13.377
Cs U I O
2 2 2 12
direct
0.000 0.000 0.000
0.000 0.000 0.500
0.333 0.667 0.250
0.667 0.333 0.750
0.333 0.667 0.750
0.667 0.333 0.250
0.001 0.387 0.666
0.001 0.614 0.834
0.386 0.387 0.834
0.386 0.999 0.666
0.387 0.001 0.166
0.387 0.386 0.334
0.613 0.614 0.666
0.613 0.999 0.834
0.614 0.001 0.334
0.614 0.613 0.166
0.999 0.386 0.166
0.999 0.613 0.334
```

Results
The formation energy from raw total energies is -1548 kJ/mol of formula units. The value obtained for the calculated density is 5159 kg/m3. The density of states at the Fermi level comes out at 0.000 states/eV per atom. As for the space-group type: P-31c (163).

***

Computed, not measured: a relaxed structure of CsUI2O8 at the PBE level of DFT.

```
CsUI2O8
1.0
6.494 0.000 0.000
-3.247 5.624 0.000
0.000 0.000 8.264
Cs U I O
1 1 2 8
direct
0.000 0.000 0.000
0.000 0.000 0.500
0.333 0.667 0.334
0.667 0.333 0.666
0.155 0.310 0.347
0.155 0.845 0.347
0.310 0.155 0.653
0.333 0.667 0.118
0.667 0.333 0.882
0.690 0.845 0.347
0.845 0.155 0.653
0.845 0.690 0.653
```

Results
The formation energy from raw total energies is -1507 kJ/mol of formula units. The value obtained for the calculated density is 4141 kg/m3. The density of states at the Fermi level comes out at 0.095 states/eV per atom. As for the space-group type: P-3m1 (164).

***

Computed, not measured: a relaxed structure of Cs2UI5O at the PBE level of DFT.

```
Cs2UI5O
1.0
-4.357 4.357 5.734
4.357 -4.357 5.734
4.357 4.357 -5.734
Cs U I O
2 1 5 1
direct
0.000 0.500 0.500
0.500 0.000 0.500
0.258 0.258 0.000
0.003 0.003 0.506
0.003 0.498 0.000
0.498 0.003 0.000
0.498 0.498 0.494
0.998 0.998 0.000
0.417 0.417 0.000
```

Results
The formation energy from raw total energies is -1304 kJ/mol of formula units. The value obtained for the calculated density is 4402 kg/m3. The density of states at the Fermi level comes out at 0.122 states/eV per atom. As for the space-group type: I4mm (107).

***

Which value of formation energy from raw total energies does entry 4 give? -1507 kJ/mol of formula units